Entry 1:
{
  "formula": "LaGd",
  "functional": "PBE-GGA",
  "state": "optimized geometry",
  "lattice": [[3.6770, 0.0000, 0.0000], [-1.8385, 3.1844, 0.0000], [0.0000, 0.0000, 5.9326]],
  "species": ["La", "Gd"],
  "frac_coords": [[0.0000, 0.0000, 0.0000], [0.3333, 0.6667, 0.5000]],
  "polymorph_energy_mev_per_atom": 0,
  "energy_ev_per_atom": -4.750,
  "spacegroup": "No. 187"
}

---

Entry 2:
{
  "formula": "Ho2TmIn3Ir2Au",
  "functional": "PBE-GGA",
  "state": "optimized geometry",
  "lattice": [[3.8245, 0.0000, 0.0000], [0.0000, 6.6244, 3.8418], [0.0000, -6.6244, 3.8418]],
  "species": ["Ho", "Ho", "Tm", "In", "In", "In", "Ir", "Ir", "Au"],
  "frac_coords": [[0.0000, 0.2043, 0.7957], [0.0000, 0.7957, 0.2043], [0.0000, 0.3876, 0.3876], [0.5000, 0.0664, 0.0664], [0.5000, 0.5256, 0.7957], [0.5000, 0.7957, 0.5256], [0.5000, 0.1312, 0.4624], [0.5000, 0.4624, 0.1312], [0.0000, 0.7953, 0.7953]],
  "energy_ev_per_atom": -5.462,
  "spacegroup": "No. 38"
}

---

Entry 3:
{
  "formula": "LiTe4IrAu3",
  "functional": "PBE-GGA",
  "state": "optimized geometry",
  "lattice": [[6.4181, 0.0000, 0.0000], [0.0000, 6.4181, 0.0000], [0.0000, 0.0000, 6.4181]],
  "species": ["Li", "Te", "Te", "Te", "Te", "Ir", "Au", "Au", "Au"],
  "frac_coords": [[0.0000, 0.0000, 0.0000], [0.2599, 0.2599, 0.2599], [0.2599, 0.7401, 0.7401], [0.7401, 0.2599, 0.7401], [0.7401, 0.7401, 0.2599], [0.5000, 0.5000, 0.5000], [0.0000, 0.5000, 0.5000], [0.5000, 0.0000, 0.5000], [0.5000, 0.5000, 0.0000]],
  "energy_ev_per_atom": -3.639,
  "spacegroup": "No. 215"
}

---

Entry 4:
{
  "formula": "FeCuHgB",
  "functional": "PBE-GGA",
  "state": "optimized geometry",
  "lattice": [[0.0000, 2.9583, 2.9583], [2.9583, 0.0000, 2.9583], [2.9583, 2.9583, 0.0000]],
  "species": ["Fe", "Cu", "Hg", "B"],
  "frac_coords": [[0.0000, 0.0000, 0.0000], [0.2500, 0.2500, 0.2500], [0.5000, 0.5000, 0.5000], [0.7500, 0.7500, 0.7500]],
  "polymorph_energy_mev_per_atom": 0,
  "energy_ev_per_atom": -3.857,
  "spacegroup": "No. 216"
}

---

Entry 5:
{
  "formula": "LuPPtO",
  "functional": "PBE-GGA",
  "state": "optimized geometry",
  "lattice": [[4.0375, 0.0000, 0.0000], [0.0000, 4.0375, 0.0000], [0.0000, 0.0000, 7.6135]],
  "species": ["Lu", "Lu", "P", "P", "Pt", "Pt", "O", "O"],
  "frac_coords": [[0.2500, 0.2500, 0.1258], [0.7500, 0.7500, 0.8742], [0.2500, 0.2500, 0.6728], [0.7500, 0.7500, 0.3272], [0.2500, 0.7500, 0.5000], [0.7500, 0.2500, 0.5000], [0.2500, 0.7500, 0.0000], [0.7500, 0.2500, 0.0000]],
  "polymorph_energy_mev_per_atom": 0,
  "energy_ev_per_atom": -7.071,
  "spacegroup": "No. 129"
}

---

Entry 6:
{
  "formula": "LaThAl",
  "functional": "PBE-GGA",
  "state": "optimized geometry",
  "lattice": [[0.0000, 3.6429, 3.6429], [3.6429, 0.0000, 3.6429], [3.6429, 3.6429, 0.0000]],
  "species": ["La", "Th", "Al"],
  "frac_coords": [[0.0000, 0.0000, 0.0000], [0.5000, 0.5000, 0.5000], [0.2500, 0.2500, 0.2500]],
  "polymorph_energy_mev_per_atom": 0,
  "energy_ev_per_atom": -5.318,
  "spacegroup": "No. 216"
}

---

Entry 7:
{
  "formula": "RbCdInBi2",
  "functional": "PBE-GGA",
  "state": "optimized geometry",
  "lattice": [[-2.4277, 2.4277, 7.5444], [2.4277, -2.4277, 7.5444], [2.4277, 2.4277, -7.5444]],
  "species": ["Rb", "Cd", "In", "Bi", "Bi"],
  "frac_coords": [[0.0000, 0.0000, 0.0000], [0.2500, 0.7500, 0.5000], [0.7500, 0.2500, 0.5000], [0.3741, 0.3741, 0.0000], [0.6259, 0.6259, 0.0000]],
  "energy_ev_per_atom": -2.752,
  "spacegroup": "No. 119"
}

---

Entry 8:
{
  "formula": "TaNiBOs",
  "functional": "PBE-GGA",
  "state": "optimized geometry",
  "lattice": [[0.0000, 2.9025, 2.9025], [2.9025, 0.0000, 2.9025], [2.9025, 2.9025, 0.0000]],
  "species": ["Ta", "Ni", "B", "Os"],
  "frac_coords": [[0.0000, 0.0000, 0.0000], [0.7500, 0.7500, 0.7500], [0.2500, 0.2500, 0.2500], [0.5000, 0.5000, 0.5000]],
  "polymorph_energy_mev_per_atom": 0,
  "energy_ev_per_atom": -8.704,
  "spacegroup": "No. 216"
}

---

Entry 9:
{
  "formula": "KIrNO",
  "functional": "PBE-GGA",
  "state": "optimized geometry",
  "lattice": [[3.8886, 0.0000, 0.0000], [0.0000, 4.4230, 0.0000], [0.0000, 0.0000, 7.4834]],
  "species": ["K", "K", "Ir", "Ir", "N", "N", "O", "O"],
  "frac_coords": [[0.0000, 0.0025, 0.0000], [0.0000, 0.9975, 0.5000], [0.5000, 0.5000, 0.2485], [0.5000, 0.5000, 0.7485], [0.5000, 0.4957, 0.4984], [0.5000, 0.5043, 0.9984], [0.0000, 0.4996, 0.2480], [0.0000, 0.5004, 0.7480]],
  "polymorph_energy_mev_per_atom": 0,
  "energy_ev_per_atom": -6.189,
  "spacegroup": "No. 26"
}

---

Entry 10:
{
  "formula": "UTlW",
  "functional": "PBE-GGA",
  "state": "optimized geometry",
  "lattice": [[0.0000, 3.3797, 3.3797], [3.3797, 0.0000, 3.3797], [3.3797, 3.3797, 0.0000]],
  "species": ["U", "Tl", "W"],
  "frac_coords": [[0.0000, 0.0000, 0.0000], [0.7500, 0.7500, 0.7500], [0.2500, 0.2500, 0.2500]],
  "polymorph_energy_mev_per_atom": 526,
  "energy_ev_per_atom": -7.229,
  "spacegroup": "No. 216"
}

---

Entry 11:
{
  "formula": "GdPdAu",
  "functional": "PBE-GGA",
  "state": "optimized geometry",
  "lattice": [[0.0000, 3.2794, 3.2794], [3.2794, 0.0000, 3.2794], [3.2794, 3.2794, 0.0000]],
  "species": ["Gd", "Pd", "Au"],
  "frac_coords": [[0.0000, 0.0000, 0.0000], [0.7500, 0.7500, 0.7500], [0.5000, 0.5000, 0.5000]],
  "energy_ev_per_atom": -5.079,
  "spacegroup": "No. 216"
}

---

Entry 12:
{
  "formula": "AgSbAsO",
  "functional": "PBE-GGA",
  "state": "optimized geometry",
  "lattice": [[4.1169, 0.0000, 0.0000], [0.0000, 6.5325, 0.0000], [0.0000, 0.0000, 6.3330]],
  "species": ["Ag", "Ag", "Sb", "Sb", "As", "As", "O", "O"],
  "frac_coords": [[0.0000, 0.1596, 0.0000], [0.0000, 0.8404, 0.5000], [0.5000, 0.2718, 0.4182], [0.5000, 0.7282, 0.9182], [0.5000, 0.3242, 0.8388], [0.5000, 0.6758, 0.3388], [0.0000, 0.1912, 0.3805], [0.0000, 0.8088, 0.8805]],
  "polymorph_energy_mev_per_atom": 101,
  "energy_ev_per_atom": -4.336,
  "spacegroup": "No. 26"
}